Material: Nd4Dy8Tm
Method: DFT, PBE-GGA
State: optimized geometry

The structure in CIF format:
```
data_Nd4Dy8Tm
_symmetry_space_group_name_H-M 'R -3 m'
_symmetry_Int_Tables_number 166
_symmetry_space_group_name_Hall '-R 3 2"'
_cell_length_a 11.0436
_cell_length_b 11.0436
_cell_length_c 13.4874
_cell_angle_alpha 90.00
_cell_angle_beta 90.00
_cell_angle_gamma 120.00
loop_
_atom_site_label
_atom_site_type_symbol
_atom_site_fract_x
_atom_site_fract_y
_atom_site_fract_z
_atom_site_occupancy
Nd1 Nd 0.0000 0.0000 0.0000 1
Nd2 Nd 0.0000 0.5000 0.0000 1
Dy1 Dy 0.0000 0.0000 0.2402 1
Dy2 Dy 0.0126 0.5063 0.7462 1
Tm1 Tm 0.0000 0.0000 0.5000 1
```

Properties
The value obtained for the total magnetization is 4.2 μB/cell. As for the formation energy: 515.1 meV per atom.